[1]
Here is an optimized crystal structure of NdErO from Alexandria via LeMat-Bulk. Energies are from GGA-PBE.

Cell lengths 12.812, 3.668, 8.723 Å; angles 90.00, 128.04, 90.00 degrees
Sites, in units of the cell vectors:
Nd: 0.177 0.000 0.110
Nd: 0.323 0.500 0.890
Nd: 0.677 0.500 0.110
Nd: 0.823 0.000 0.890
Er: 0.059 0.500 0.350
Er: 0.441 0.000 0.650
Er: 0.559 0.000 0.350
Er: 0.941 0.500 0.650
O: 0.035 0.000 0.202
O: 0.465 0.500 0.798
O: 0.535 0.500 0.202
O: 0.965 0.000 0.798

crystal system = monoclinic
formation energy (no corrections) = -1.747 eV per atom
excess energy over the best structure of this formula in the dataset = 0.14 kcal/mol of atoms


[2]
Here is an optimized crystal structure of MgZrF2 from Alexandria via LeMat-Bulk. Energies are from GGA-PBE.

Cell lengths 3.158, 3.158, 20.817 Å; angles 90.00, 90.00, 120.00 degrees
Sites, in units of the cell vectors:
Mg: 0.000 0.000 0.000
Mg: 0.333 0.667 0.667
Mg: 0.667 0.333 0.333
Zr: 0.000 0.000 0.500
Zr: 0.333 0.667 0.167
Zr: 0.667 0.333 0.833
F: 0.000 0.000 0.377
F: 0.000 0.000 0.623
F: 0.333 0.667 0.044
F: 0.333 0.667 0.290
F: 0.667 0.333 0.710
F: 0.667 0.333 0.956

crystal system = trigonal
formation energy (no corrections) = -2.154 eV per atom
excess energy over the best structure of this formula in the dataset = 0.00 kcal/mol of atoms


[3]
Here is an optimized crystal structure of Na3Ac3CrSe8 from Alexandria via LeMat-Bulk. Energies are from GGA-PBE.

Cell lengths 8.649, 8.649, 8.649 Å; angles 60.53, 60.53, 60.53 degrees
Sites, in units of the cell vectors:
Na: 0.000 0.500 0.500
Na: 0.500 0.000 0.500
Na: 0.500 0.500 0.000
Ac: 0.000 0.000 0.500
Ac: 0.000 0.500 0.000
Ac: 0.500 0.000 0.000
Cr: 0.500 0.500 0.500
Se: 0.250 0.250 0.250
Se: 0.286 0.286 0.712
Se: 0.286 0.712 0.286
Se: 0.288 0.714 0.714
Se: 0.712 0.286 0.286
Se: 0.714 0.288 0.714
Se: 0.714 0.714 0.288
Se: 0.750 0.750 0.750

crystal system = trigonal
formation energy (no corrections) = -1.364 eV per atom


[4]
Here is an optimized crystal structure of ScMoRh2 from Alexandria via LeMat-Bulk. Energies are from GGA-PBE.

Cell lengths 2.891, 3.742, 5.874 Å; angles 90.00, 90.00, 90.00 degrees
Sites, in units of the cell vectors:
Sc: 0.000 0.000 0.000
Mo: 0.000 0.000 0.500
Rh: 0.500 0.500 0.263
Rh: 0.500 0.500 0.737

crystal system = orthorhombic
raw total energy = -8.34 eV/atom


[5]
Here is an optimized crystal structure of LiTe2Br from Alexandria via LeMat-Bulk. Energies are from GGA-PBE.

Cell lengths 4.158, 4.158, 17.447 Å; angles 90.00, 90.00, 90.00 degrees
Sites, in units of the cell vectors:
Li: 0.000 0.000 0.000
Li: 0.500 0.500 0.500
Te: 0.000 0.500 0.250
Te: 0.000 0.500 0.750
Te: 0.500 0.000 0.250
Te: 0.500 0.000 0.750
Br: 0.000 0.000 0.500
Br: 0.500 0.500 0.000

crystal system = tetragonal
formation energy (no corrections) = -0.534 eV per atom
excess energy over the best structure of this formula in the dataset = 1.96 kcal/mol of atoms


| no. | total magnetization (μB per formula unit) |
| --- | --- |
| 1 | 0.00 |
| 2 | 0.00 |
| 3 | 1.98 |
| 4 | 0.00 |
| 5 | 0.00 |